Record 1
Material: Ir2Pt
Method: DFT, PBE
State: optimized geometry

abc: 4.419 4.419 2.782
angles: 90.00 90.00 90.00
Space group P4/mmm (No. 123)
Unique sites:
Ir 0.000 0.500 0.000
Pt 0.000 0.000 0.500

## Properties
The calculation puts the offset from the most stable computed form at 864 meV per atom. The calculation puts the density of states at the Fermi level at 6.45 states/eV/f.u. The value obtained for the uncorrected energy is -21.1 eV/cell. The calculation puts the formation energy from the elements at 0.89 eV/atom.

---

Record 2
Material: Ir2Pt
Method: DFT, PBE
State: optimized geometry

abc: 5.545 3.897 8.277
angles: 90.00 90.00 90.00
Space group Pnma (No. 62)
Unique sites:
Ir 0.123 0.250 0.083
Ir 0.125 0.250 0.756
Pt 0.125 0.250 0.415

## Properties
The calculation puts the offset from the most stable computed form at 50 meV per atom. The calculation puts the density of states at the Fermi level at 3.63 states/eV/f.u. The value obtained for the uncorrected energy is -94.1 eV/cell. The calculation puts the formation energy from the elements at 0.08 eV/atom.